The following is a PBE calculation of AlAgPt2 after structural relaxation, from Alexandria.

Output
Density of states at the Fermi level, states/eV per cell: 2.41
E_form, eV/atom: -0.323
Calculated volume, Å³ per atom: 15.77
Offset from the most stable computed form, meV per atom: 331
SG: P4mm, No. 99

Geometry as POSCAR:
```
AlAgPt2
1.0
2.856 0.000 0.000
0.000 2.856 0.000
0.000 0.000 7.734
Ag Pt Al
1 2 1
Direct
0.000 0.000 0.513
0.000 0.000 0.975
0.500 0.500 0.243
0.500 0.500 0.768
```